# Tl2MoOs

Crystalline Tl2MoOs at its relaxed geometry (PBE, the Alexandria database).

Properties
Uncorrected energy (eV per atom): -5.632
Energy of formation (eV/atom): 1.066
Crystal system: tetragonal
DOS(E_F) (states/eV per atom): 0.96
Distance to the lowest polymorph of the same formula (eV/atom): 0.648

```
data_Tl2MoOs
_cell_length_a 4.2025
_cell_length_b 4.2025
_cell_length_c 8.5409
_cell_angle_alpha 90.00
_cell_angle_beta 90.00
_cell_angle_gamma 90.00
_symmetry_space_group_name_H-M 'I -4 m 2'
_symmetry_Int_Tables_number 119
_symmetry_space_group_name_Hall 'I -4 -2'
loop_
_atom_site_label
_atom_site_fract_x
_atom_site_fract_y
_atom_site_fract_z
Tl1 0.0000 0.0000 0.0000
Tl2 0.0000 0.5000 0.2500
Mo1 0.0000 0.5000 0.7500
Os1 0.0000 0.0000 0.5000
```